(1)
An optimized crystal structure of Mn3CrN. Source: the Alexandria database, functional GGA-PBE.

a b c (Å): 4.216 4.615 5.220
angles (deg): 90.00 90.00 90.00
Fractional positions:
Mn 0.427 0.328 0.201
Mn 0.422 0.864 0.950
Mn 0.922 0.488 0.450
Mn 0.927 0.025 0.701
Mn 0.922 0.488 0.951
Mn 0.422 0.865 0.452
Cr 0.433 0.325 0.701
Cr 0.933 0.027 0.201
N 0.174 0.675 0.701
N 0.674 0.678 0.201

As for the formation energy (no corrections): -0.17 eV/atom. The energy above the most stable polymorph in this dataset is 0.000 eV/atom.

=====

(2)
An optimized crystal structure of MnCrN2. Source: the Alexandria database, functional GGA-PBE.

a b c (Å): 4.953 5.178 6.109
angles (deg): 90.00 90.00 90.00
Fractional positions:
Mn 0.948 0.563 0.886
Mn 0.448 0.437 0.114
Mn 0.448 0.937 0.386
Mn 0.948 0.063 0.614
Cr 0.033 0.598 0.359
Cr 0.533 0.402 0.641
Cr 0.533 0.902 0.859
Cr 0.033 0.098 0.141
N 0.334 0.586 0.855
N 0.834 0.414 0.145
N 0.834 0.914 0.355
N 0.334 0.086 0.645
N 0.408 0.583 0.393
N 0.908 0.417 0.607
N 0.908 0.917 0.893
N 0.408 0.083 0.107

As for the formation energy (no corrections): -0.27 eV/atom. The energy above the most stable polymorph in this dataset is 0.109 eV/atom.

=====

(3)
An optimized crystal structure of Mn3CrN. Source: the Alexandria database, functional GGA-PBE.

a b c (Å): 3.711 3.711 3.711
angles (deg): 90.00 90.00 90.00
Fractional positions:
Cr 0.500 0.500 0.500
Mn 0.000 0.500 0.000
Mn 0.000 0.000 0.500
Mn 0.500 0.000 0.000
N 0.000 0.000 0.000

As for the formation energy (no corrections): -0.08 eV/atom. The energy above the most stable polymorph in this dataset is 0.091 eV/atom.

=====

(4)
An optimized crystal structure of Mn3Cr5N12. Source: the Alexandria database, functional GGA-PBE.

a b c (Å): 10.158 10.158 10.158
angles (deg): 109.47 109.47 109.47
Fractional positions:
Mn 0.750 0.375 0.125
Mn 0.875 0.750 0.125
Mn 0.375 0.750 0.625
Mn 0.250 0.125 0.375
Mn 0.875 0.125 0.250
Mn 0.375 0.625 0.250
Mn 0.625 0.375 0.750
Mn 0.125 0.875 0.750
Mn 0.750 0.875 0.625
Mn 0.625 0.250 0.375
Mn 0.125 0.250 0.875
Mn 0.250 0.625 0.875
Cr 0.125 0.375 0.250
Cr 0.000 0.500 0.000
Cr 0.000 0.000 0.000
Cr 0.375 0.250 0.125
Cr 0.500 0.000 0.500
Cr 0.500 0.500 0.000
Cr 0.125 0.750 0.375
Cr 0.750 0.125 0.875
Cr 0.750 0.625 0.375
Cr 0.375 0.125 0.750
Cr 0.625 0.875 0.250
Cr 0.500 0.500 0.500
Cr 0.500 0.000 0.000
Cr 0.000 0.000 0.500
Cr 0.250 0.375 0.625
Cr 0.250 0.875 0.125
Cr 0.000 0.500 0.500
Cr 0.875 0.250 0.625
Cr 0.625 0.750 0.875
Cr 0.875 0.625 0.750
N 0.715 0.124 0.032
N 0.318 0.532 0.408
N 0.968 0.376 0.285
N 0.532 0.215 0.124
N 0.591 0.715 0.682
N 0.968 0.592 0.182
N 0.318 0.785 0.409
N 0.092 0.909 0.124
N 0.592 0.968 0.682
N 0.715 0.591 0.182
N 0.785 0.468 0.376
N 0.818 0.908 0.032
N 0.124 0.715 0.532
N 0.376 0.408 0.091
N 0.091 0.908 0.376
N 0.409 0.124 0.592
N 0.091 0.182 0.215
N 0.468 0.682 0.092
N 0.818 0.909 0.285
N 0.124 0.409 0.092
N 0.376 0.968 0.785
N 0.592 0.624 0.409
N 0.908 0.818 0.532
N 0.785 0.318 0.909
N 0.408 0.376 0.591
N 0.092 0.182 0.468
N 0.215 0.682 0.091
N 0.182 0.091 0.715
N 0.624 0.032 0.215
N 0.876 0.591 0.908
N 0.532 0.318 0.908
N 0.591 0.876 0.408
N 0.909 0.818 0.785
N 0.909 0.092 0.624
N 0.876 0.285 0.468
N 0.182 0.092 0.968
N 0.624 0.592 0.909
N 0.408 0.032 0.318
N 0.285 0.409 0.818
N 0.215 0.532 0.624
N 0.908 0.091 0.876
N 0.682 0.215 0.591
N 0.468 0.785 0.876
N 0.032 0.408 0.818
N 0.409 0.285 0.318
N 0.032 0.624 0.715
N 0.682 0.468 0.592
N 0.285 0.876 0.968

As for the formation energy (no corrections): 0.11 eV/atom.

=====

(5)
An optimized crystal structure of Mn3Cr2N2. Source: the Alexandria database, functional GGA-PBE.

a b c (Å): 2.566 4.502 6.488
angles (deg): 115.64 90.00 106.55
Fractional positions:
Mn 0.500 0.000 0.000
Mn 0.599 0.199 0.421
Mn 0.401 0.801 0.579
Cr 0.829 0.659 0.198
Cr 0.171 0.341 0.802
N 0.833 0.666 0.758
N 0.167 0.334 0.242

As for the formation energy (no corrections): -0.13 eV/atom.

=====

(6)
An optimized crystal structure of MnCrN. Source: the Alexandria database, functional GGA-PBE.

a b c (Å): 2.492 2.492 4.672
angles (deg): 105.46 105.46 90.00
Fractional positions:
Cr 0.018 0.018 0.035
Mn 0.297 0.297 0.593
N 0.686 0.686 0.372

As for the formation energy (no corrections): 0.14 eV/atom. The energy above the most stable polymorph in this dataset is 0.360 eV/atom.

=====

(7)
An optimized crystal structure of Mn2CrN. Source: the Alexandria database, functional GGA-PBE.

a b c (Å): 2.725 2.725 6.660
angles (deg): 78.20 78.20 60.00
Fractional positions:
Cr 0.500 0.500 0.500
Mn 0.726 0.726 0.822
Mn 0.274 0.274 0.178
N 0.000 0.000 0.000

As for the formation energy (no corrections): 0.00 eV/atom.

=====

(8)
An optimized crystal structure of MnCrN. Source: the Alexandria database, functional GGA-PBE.

a b c (Å): 2.644 2.585 4.781
angles (deg): 105.69 106.06 90.00
Fractional positions:
Mn 0.429 0.929 0.859
Cr 0.671 0.671 0.343
N 0.255 0.255 0.510

As for the formation energy (no corrections): -0.09 eV/atom. The energy above the most stable polymorph in this dataset is 0.134 eV/atom.

=====

(9)
An optimized crystal structure of MnCrN. Source: the Alexandria database, functional GGA-PBE.

a b c (Å): 3.552 3.552 3.552
angles (deg): 60.00 60.00 60.00
Fractional positions:
Cr 0.500 0.500 0.500
Mn 0.000 0.000 0.000
N 0.250 0.250 0.250

As for the formation energy (no corrections): 0.21 eV/atom. The energy above the most stable polymorph in this dataset is 0.430 eV/atom.

=====

(10)
An optimized crystal structure of MnCrN. Source: the Alexandria database, functional GGA-PBE.

a b c (Å): 3.980 3.980 3.851
angles (deg): 90.00 90.00 90.00
Fractional positions:
Cr 0.000 0.500 0.000
Cr 0.500 0.000 0.000
N 0.000 0.500 0.500
N 0.500 0.000 0.500
Mn 0.500 0.500 0.500
Mn 0.000 0.000 0.500

As for the formation energy (no corrections): -0.22 eV/atom. The energy above the most stable polymorph in this dataset is 0.000 eV/atom.

=====

(11)
An optimized crystal structure of MnCrN2. Source: the Alexandria database, functional GGA-PBE.

a b c (Å): 3.561 3.561 3.561
angles (deg): 60.00 60.00 60.00
Fractional positions:
Cr 0.000 0.000 0.000
Mn 0.500 0.500 0.500
N 0.250 0.250 0.250
N 0.750 0.750 0.750

As for the formation energy (no corrections): 0.28 eV/atom. The energy above the most stable polymorph in this dataset is 0.654 eV/atom.

=====

(12)
An optimized crystal structure of MnCrN3. Source: the Alexandria database, functional GGA-PBE.

a b c (Å): 3.649 3.649 3.649
angles (deg): 90.00 90.00 90.00
Fractional positions:
Cr 0.500 0.500 0.500
Mn 0.000 0.000 0.000
N 0.000 0.500 0.000
N 0.000 0.000 0.500
N 0.500 0.000 0.000

As for the formation energy (no corrections): 0.82 eV/atom.